Material: Hf2VIr
Method: DFT, GGA-PBE
State: optimized geometry

```
data_Hf2VIr
_chemical_formula_sum 'Hf8 V4 Ir4'
_symmetry_space_group_name_H-M 'I -4 2 d'
_symmetry_Int_Tables_number 122
_symmetry_space_group_name_Hall 'I -4 2bw'
_cell_length_a 7.3592
_cell_length_b 7.3592
_cell_length_c 5.7568
_cell_angle_alpha 90.00
_cell_angle_beta 90.00
_cell_angle_gamma 90.00
loop_
_atom_site_label
_atom_site_fract_x
_atom_site_fract_y
_atom_site_fract_z
Hf1 0.2256 0.2500 0.1250
V1 0.0000 0.0000 0.5000
Ir1 0.0000 0.0000 0.0000
```

Calculated values
E_form: 134 meV per atom
Electronic total energy: -149.40 eV per cell
Polymorph energy (0 for the lowest one): 628 meV per atom
Total moment: 6.9 μB per cell